# 1
DFT (PBE) results for a relaxed structure of Sr4AlSb.

Structure (POSCAR):
```
Sr4AlSb
1.0
0.000 4.895 4.895
4.895 0.000 4.895
4.895 4.895 0.000
Sr Al Sb
4 1 1
Cartesian
1.228 1.228 1.228
3.667 3.667 1.228
3.667 1.228 3.667
1.228 3.667 3.667
7.342 7.342 7.342
4.895 4.895 4.895
```

Space-group type: F-43m, No. 216
E_form (uncorrected): 348 meV per atom



# 2
DFT (PBE) results for a relaxed structure of Pr2Ho2Tm2Sc.

Structure (POSCAR):
```
Pr2Ho2Tm2Sc
1.0
8.759 -1.720 0.000
8.759 1.720 0.000
-3.855 0.000 7.460
Pr Ho Tm Sc
2 2 2 1
Cartesian
1.093 0.000 2.839
12.570 0.000 4.621
4.317 0.000 1.512
9.345 0.000 5.947
-2.261 0.000 6.691
15.923 0.000 0.769
6.831 0.000 3.730
```

Space-group type: C2/m, No. 12
Energy of formation: 0.1641 eV/atom



# 3
DFT (PBE) results for a relaxed structure of BeSbAs2.

Structure (POSCAR):
```
BeSbAs2
1.0
0.000 3.383 3.383
3.383 0.000 3.383
3.383 3.383 0.000
Be Sb As
1 1 2
Cartesian
0.000 0.000 0.000
3.383 3.383 3.383
1.692 1.692 1.692
5.075 5.075 5.075
```

Relative energy among the computed polymorphs: 0.5927 eV/atom
Space-group type: Fm-3m, No. 225
E_form (uncorrected): 621 meV per atom



# 4
DFT (PBE) results for a relaxed structure of Si2NiW.

Structure (POSCAR):
```
Si2NiW
1.0
0.000 2.994 2.994
2.994 0.000 2.994
2.994 2.994 0.000
Si Ni W
2 1 1
Cartesian
0.000 0.000 0.000
1.497 1.497 1.497
4.491 4.491 4.491
2.994 2.994 2.994
```

Relative energy among the computed polymorphs: 0.5168 eV/atom
Space-group type: F-43m, No. 216
E_form (uncorrected): 311 meV per atom



# 5
DFT (PBE) results for a relaxed structure of LiPrErSc.

Structure (POSCAR):
```
LiPrErSc
1.0
0.000 3.818 3.818
3.818 0.000 3.818
3.818 3.818 0.000
Li Pr Er Sc
1 1 1 1
Cartesian
0.000 0.000 0.000
1.909 1.909 1.909
5.728 5.728 5.728
3.818 3.818 3.818
```

Space-group type: F-43m, No. 216
Energy of formation: 0.1495 eV/atom



# 6
DFT (PBE) results for a relaxed structure of Pr4Zn2Ru2C.

Structure (POSCAR):
```
Pr4Zn2Ru2C
1.0
5.238 -3.727 0.000
5.238 3.727 0.000
-0.275 0.000 5.228
Pr Zn Ru C
4 2 2 1
Cartesian
3.725 1.878 3.925
6.476 1.878 1.303
3.725 -1.878 3.925
6.476 -1.878 1.303
1.195 0.000 4.048
9.006 0.000 1.180
3.800 0.000 1.236
6.400 0.000 3.992
5.100 0.000 2.614
```

Space-group type: C2/m, No. 12
Energy of formation: -0.1878 eV/atom



# 7
DFT (PBE) results for a relaxed structure of AlTlSbTe2.

Structure (POSCAR):
```
AlTlSbTe2
1.0
5.854 0.000 0.000
0.000 5.854 0.000
0.000 0.000 5.663
Al Tl Sb Te
1 1 1 2
Cartesian
0.000 0.000 0.000
2.927 2.927 2.831
2.927 2.927 0.000
0.000 2.927 2.831
2.927 0.000 2.831
```

Relative energy among the computed polymorphs: 0.6680 eV/atom
Space-group type: P4/mmm, No. 123
E_form (uncorrected): 781 meV per atom



# 8
DFT (PBE) results for a relaxed structure of Ba3Hg4Bi2Pb2.

Structure (POSCAR):
```
Ba3Hg4Bi2Pb2
1.0
-2.510 2.510 15.509
2.510 -2.510 15.509
2.510 2.510 -15.509
Ba Hg Bi Pb
3 4 2 2
Cartesian
0.000 0.000 0.000
0.000 0.000 6.111
0.000 0.000 24.907
2.510 0.000 3.391
2.510 0.000 12.118
0.000 2.510 3.391
0.000 2.510 12.118
0.000 0.000 9.804
0.000 0.000 21.214
0.000 0.000 14.005
0.000 0.000 17.013
```

Space-group type: I4/mmm, No. 139
Energy of formation: -0.3702 eV/atom



# 9
DFT (PBE) results for a relaxed structure of FeTe2W.

Structure (POSCAR):
```
FeTe2W
1.0
1.701 -2.718 0.000
1.701 2.718 0.000
0.000 0.000 8.658
Fe Te W
1 2 1
Cartesian
0.000 0.000 0.000
1.701 0.000 2.123
1.701 0.000 6.535
0.000 0.000 4.329
```

Relative energy among the computed polymorphs: 0.9899 eV/atom
Space-group type: Cmmm, No. 65
E_form (uncorrected): 954 meV per atom



# 10
DFT (PBE) results for a relaxed structure of KCePbCl6.

Structure (POSCAR):
```
KCePbCl6
1.0
7.467 0.000 0.000
-3.733 6.467 0.000
0.000 0.000 13.359
K Ce Pb Cl
2 2 2 12
Cartesian
0.000 0.000 0.000
0.000 0.000 6.679
0.000 4.311 3.340
3.733 2.156 10.019
0.000 4.311 10.019
3.733 2.156 3.340
-1.268 2.384 1.794
-2.303 4.176 4.886
1.268 2.384 4.886
-1.035 6.373 1.794
2.699 0.094 8.473
1.430 2.290 11.565
2.303 4.176 1.794
1.035 6.373 4.886
4.768 0.094 11.565
2.465 4.083 8.473
6.037 2.290 8.473
5.002 4.083 11.565
```

Space-group type: P-31c, No. 163
E_form (uncorrected): -1825 meV per atom



# 11
DFT (PBE) results for a relaxed structure of Cd7GaHg3.

Structure (POSCAR):
```
Cd7GaHg3
1.0
5.091 -5.635 0.000
5.091 5.635 0.000
-2.877 0.000 4.761
Cd Ga Hg
7 1 3
Cartesian
0.000 0.000 0.000
2.432 2.818 1.589
0.754 0.000 4.139
4.873 2.818 3.172
2.432 -2.818 1.589
6.551 0.000 0.622
4.873 -2.818 3.172
-1.439 0.000 2.381
5.091 2.683 0.000
3.653 0.000 2.381
5.091 -2.683 0.000
```

Relative energy among the computed polymorphs: 0.0239 eV/atom
Space-group type: C2/m, No. 12
Energy of formation: 0.0693 eV/atom



# 12
DFT (PBE) results for a relaxed structure of NdHfZn2.

Structure (POSCAR):
```
NdHfZn2
1.0
3.458 0.000 0.000
0.000 3.458 0.000
0.000 0.000 7.092
Nd Hf Zn
1 1 2
Cartesian
0.000 0.000 0.000
0.000 0.000 3.546
1.729 1.729 2.067
1.729 1.729 5.025
```

Relative energy among the computed polymorphs: 0.0000 eV/atom
Space-group type: P4/mmm, No. 123
Energy of formation: -0.2033 eV/atom



# 13
DFT (PBE) results for a relaxed structure of TiMnHRh2.

Structure (POSCAR):
```
TiMnHRh2
1.0
3.956 0.000 0.000
0.000 3.956 0.000
0.000 0.000 3.760
Ti Mn H Rh
1 1 1 2
Cartesian
0.000 0.000 0.000
1.978 1.978 0.000
1.978 1.978 1.880
0.000 1.978 1.880
1.978 0.000 1.880
```

Relative energy among the computed polymorphs: 0.0000 eV/atom
Space-group type: P4/mmm, No. 123



# 14
DFT (PBE) results for a relaxed structure of ScCBr2.

Structure (POSCAR):
```
ScCBr2
1.0
1.881 1.086 8.303
-1.881 1.086 8.303
0.000 -2.173 8.303
Sc C Br
1 1 2
Cartesian
0.000 0.000 0.000
0.000 0.000 12.454
0.000 0.000 9.977
0.000 0.000 14.931
```

Relative energy among the computed polymorphs: 0.0000 eV/atom
Space-group type: R-3m, No. 166
E_form (uncorrected): 674 meV per atom



# 15
DFT (PBE) results for a relaxed structure of PuMg2AlO6.

Structure (POSCAR):
```
PuMg2AlO6
1.0
2.620 1.513 4.693
-2.620 1.513 4.693
0.000 -3.025 4.693
Pu Mg Al O
1 2 1 6
Cartesian
0.000 0.000 0.000
0.000 0.000 4.085
0.000 0.000 11.146
0.000 0.000 7.011
-1.507 0.027 5.720
-0.971 -1.374 7.967
0.730 -1.319 5.720
-0.704 1.527 7.967
0.777 1.292 5.720
1.675 -0.154 7.967
```

Space-group type: R3, No. 146
E_form (uncorrected): -2719 meV per atom



# 16
DFT (PBE) results for a relaxed structure of MnOsBr2.

Structure (POSCAR):
```
MnOsBr2
1.0
1.731 0.999 8.720
-1.731 0.999 8.720
0.000 -1.999 8.720
Mn Os Br
1 1 2
Cartesian
0.000 0.000 0.000
0.000 0.000 18.559
0.000 0.000 6.968
0.000 0.000 11.786
```

Relative energy among the computed polymorphs: 0.0000 eV/atom
Space-group type: R3m, No. 160
E_form (uncorrected): 265 meV per atom



# 17
DFT (PBE) results for a relaxed structure of Li2ReW.

Structure (POSCAR):
```
Li2ReW
1.0
2.546 0.000 0.000
0.000 2.546 0.000
0.000 0.000 9.270
Li Re W
2 1 1
Cartesian
0.000 0.000 2.247
0.000 0.000 7.023
1.273 1.273 0.000
1.273 1.273 4.635
```

Relative energy among the computed polymorphs: 0.2819 eV/atom
Space-group type: P4/mmm, No. 123
Energy of formation: 0.5136 eV/atom



# 18
DFT (PBE) results for a relaxed structure of Y2AsRu.

Structure (POSCAR):
```
Y2AsRu
1.0
-1.720 2.242 5.772
1.720 -2.242 5.772
1.720 2.242 -5.772
Y As Ru
2 1 1
Cartesian
0.000 0.000 0.000
0.000 2.242 2.667
0.000 0.000 4.762
1.720 0.000 2.851
```

Space-group type: Imm2, No. 44
Energy of formation: -0.6408 eV/atom



# 19
DFT (PBE) results for a relaxed structure of KLiAl.

Structure (POSCAR):
```
KLiAl
1.0
4.496 0.000 0.000
2.248 3.895 0.000
0.072 0.009 11.491
K Li Al
2 2 2
Cartesian
1.164 0.651 1.988
5.652 3.252 9.503
3.407 1.952 7.037
3.409 1.952 4.453
1.160 0.654 5.951
5.656 3.250 5.540
```

Relative energy among the computed polymorphs: 0.0002 eV/atom
Space-group type: P-1, No. 2
Energy of formation: -0.0025 eV/atom



# 20
DFT (PBE) results for a relaxed structure of TcAs2Ru.

Structure (POSCAR):
```
TcAs2Ru
1.0
3.941 -1.503 0.000
3.941 1.503 0.000
-1.163 0.000 5.089
Tc As Ru
1 2 1
Cartesian
0.000 0.000 0.000
1.098 0.000 3.833
5.622 0.000 1.256
3.360 0.000 2.544
```

Relative energy among the computed polymorphs: 0.1414 eV/atom
Space-group type: C2/m, No. 12
Energy of formation: 0.0173 eV/atom



| no. | electronic total energy (eV/atom) |
| --- | --- |
| 1 | -2.084 |
| 2 | -4.692 |
| 3 | -3.666 |
| 4 | -7.084 |
| 5 | -4.247 |
| 6 | -5.681 |
| 7 | -2.522 |
| 8 | -2.384 |
| 9 | -5.971 |
| 10 | -4.249 |
| 11 | -0.871 |
| 12 | -4.521 |
| 13 | -7.436 |
| 14 | -4.051 |
| 15 | -7.820 |
| 16 | -5.671 |
| 17 | -6.794 |
| 18 | -7.354 |
| 19 | -2.254 |
| 20 | -7.218 |